{
  "formula": "Tc2RhW",
  "functional": "GGA-PBEsol",
  "state": "optimized geometry",
  "polymorph_energy_mev_per_atom": 20.6,
  "crystal_system": "tetragonal",
  "dos_at_fermi_per_ev_atom": 0.837,
  "ef_ev_per_atom": -0.046,
  "energy_ev_per_cell": -44.66,
  "lattice_angstrom": [[3.8499, 0.0000, 0.0000], [0.0000, 3.8499, 0.0000], [-1.9250, -1.9250, 3.8406]],
  "species": ["W", "Tc", "Tc", "Rh"],
  "frac_coords": [[0.5000, 0.5000, 0.0000], [0.7500, 0.2500, 0.5000], [0.0000, 0.0000, 0.0000], [0.2500, 0.7500, 0.5000]]
}

=====

{
  "formula": "TcRh2W",
  "functional": "GGA-PBEsol",
  "state": "optimized geometry",
  "polymorph_energy_mev_per_atom": 320.4,
  "crystal_system": "tetragonal",
  "dos_at_fermi_per_ev_atom": 1.006,
  "ef_ev_per_atom": 0.097,
  "energy_ev_per_cell": -40.96,
  "lattice_angstrom": [[3.2108, 0.0000, 0.0000], [0.0000, 3.2108, 0.0000], [0.0000, 0.0000, 5.5522]],
  "species": ["Tc", "Rh", "Rh", "W"],
  "frac_coords": [[0.0000, 0.0000, 0.4919], [0.5000, 0.5000, 0.2526], [0.0000, 0.0000, 0.9976], [0.5000, 0.5000, 0.7578]]
}

=====

{
  "formula": "TcRh2W",
  "functional": "GGA-PBEsol",
  "state": "optimized geometry",
  "polymorph_energy_mev_per_atom": 35.6,
  "crystal_system": "tetragonal",
  "dos_at_fermi_per_ev_atom": 0.827,
  "ef_ev_per_atom": -0.188,
  "energy_ev_per_cell": -42.10,
  "lattice_angstrom": [[3.7971, 0.0000, 0.0000], [0.0000, 3.7971, 0.0000], [0.0000, 0.0000, 3.8818]],
  "species": ["Tc", "W", "Rh", "Rh"],
  "frac_coords": [[0.5000, 0.5000, 0.5000], [0.0000, 0.0000, 0.5000], [0.0000, 0.5000, 0.0000], [0.5000, 0.0000, 0.0000]]
}

=====

{
  "formula": "Tc2RhW",
  "functional": "GGA-PBEsol",
  "state": "optimized geometry",
  "polymorph_energy_mev_per_atom": 260.3,
  "crystal_system": "tetragonal",
  "dos_at_fermi_per_ev_atom": 1.510,
  "ef_ev_per_atom": 0.193,
  "energy_ev_per_cell": -43.71,
  "lattice_angstrom": [[3.1925, 0.0000, 0.0000], [0.0000, 3.1925, 0.0000], [0.0000, 0.0000, 5.6672]],
  "species": ["Tc", "Tc", "Rh", "W"],
  "frac_coords": [[0.0000, 0.0000, 0.7507], [0.0000, 0.0000, 0.2493], [0.5000, 0.5000, 0.5000], [0.5000, 0.5000, 0.0000]]
}

=====

{
  "formula": "Tc2RhW",
  "functional": "GGA-PBEsol",
  "state": "optimized geometry",
  "polymorph_energy_mev_per_atom": 0.0,
  "crystal_system": "tetragonal",
  "dos_at_fermi_per_ev_atom": 0.821,
  "ef_ev_per_atom": -0.067,
  "energy_ev_per_cell": -44.75,
  "lattice_angstrom": [[-2.8658, -2.0370, -1.5211], [2.4684, -2.7780, -0.9303], [-0.6149, -1.6942, 3.4274]],
  "species": ["Tc", "Tc", "Rh", "W"],
  "frac_coords": [[0.5000, 0.0000, 0.0000], [0.0000, 0.5000, 0.0000], [0.0000, 0.0000, 0.5000], [0.5000, 0.5000, 0.5000]]
}

=====

{
  "formula": "TcRh2W",
  "functional": "GGA-PBEsol",
  "state": "optimized geometry",
  "polymorph_energy_mev_per_atom": 80.5,
  "crystal_system": "orthorhombic",
  "dos_at_fermi_per_ev_atom": 0.813,
  "ef_ev_per_atom": -0.143,
  "energy_ev_per_cell": -41.92,
  "lattice_angstrom": [[2.6906, 0.0000, 0.0000], [0.0000, 3.8757, 0.0000], [0.0000, 0.0000, 5.3785]],
  "species": ["Tc", "Rh", "Rh", "W"],
  "frac_coords": [[0.5000, 0.5000, 0.0000], [0.0000, 0.0000, 0.2452], [0.0000, 0.0000, 0.7548], [0.5000, 0.5000, 0.5000]]
}